Record 1
{
  "formula": "Th2In3Au",
  "functional": "PBE",
  "state": "optimized geometry",
  "total_magnetization_mub_per_fu": 0.000,
  "dos_ef_per_ev_cell": 3.22,
  "e_form_ev_per_fu": -2.5,
  "e_tot_ry_per_atom": -0.3528,
  "space_group": "Pmm2, No. 25",
  "vol_a3_per_cell": 155.4,
  "cell": [[3.643, 0.000, 0.000], [0.000, 4.970, 0.000], [0.000, 0.000, 8.585]],
  "species": ["Th", "Th", "In", "In", "In", "Au"],
  "frac_coords": [[0.000, 0.000, 0.000], [0.000, 0.500, 0.482], [0.500, 0.000, 0.650], [0.500, 0.500, 0.160], [0.500, 0.500, 0.821], [0.500, 0.000, 0.321]]
}


Record 2
{
  "formula": "CeEr8Ir6",
  "functional": "PBE",
  "state": "optimized geometry",
  "total_magnetization_mub_per_fu": 0.000,
  "dos_ef_per_ev_cell": 8.66,
  "e_form_ev_per_fu": -12.4,
  "e_tot_ry_per_atom": -0.5292,
  "space_group": "R-3, No. 148",
  "vol_a3_per_cell": 349.3,
  "cell": [[4.101, 2.368, 5.997], [-4.101, 2.368, 5.997], [0.000, -4.735, 5.997]],
  "species": ["Ce", "Er", "Er", "Er", "Er", "Er", "Er", "Er", "Er", "Ir", "Ir", "Ir", "Ir", "Ir", "Ir"],
  "frac_coords": [[0.000, 0.000, 0.000], [0.104, 0.772, 0.463], [0.228, 0.537, 0.896], [0.338, 0.338, 0.338], [0.463, 0.104, 0.772], [0.537, 0.896, 0.228], [0.662, 0.662, 0.662], [0.772, 0.463, 0.104], [0.896, 0.228, 0.537], [0.058, 0.381, 0.729], [0.271, 0.942, 0.619], [0.381, 0.729, 0.058], [0.619, 0.271, 0.942], [0.729, 0.058, 0.381], [0.942, 0.619, 0.271]]
}


Record 3
{
  "formula": "Eu3ErF",
  "functional": "PBE",
  "state": "optimized geometry",
  "total_magnetization_mub_per_fu": 22.739,
  "dos_ef_per_ev_cell": 3.72,
  "e_tot_ry_per_atom": -0.6185,
  "space_group": "Pm-3m, No. 221",
  "vol_a3_per_cell": 151.7,
  "cell": [[5.333, 0.000, 0.000], [0.000, 5.333, 0.000], [0.000, 0.000, 5.333]],
  "species": ["Eu", "Eu", "Eu", "Er", "F"],
  "frac_coords": [[0.000, 0.000, 0.500], [0.000, 0.500, 0.000], [0.500, 0.000, 0.000], [0.500, 0.500, 0.500], [0.000, 0.000, 0.000]]
}


Record 4
{
  "formula": "In2SnP",
  "functional": "PBE",
  "state": "optimized geometry",
  "total_magnetization_mub_per_fu": 0.533,
  "dos_ef_per_ev_cell": 3.03,
  "e_form_ev_per_fu": 2.2,
  "e_tot_ry_per_atom": -0.2332,
  "e_above_lowest_polymorph_ev_per_atom": 0.5014,
  "space_group": "R-3m, No. 166",
  "vol_a3_per_cell": 131.9,
  "cell": [[2.143, 1.237, 8.295], [-2.143, 1.237, 8.295], [0.000, -2.474, 8.295]],
  "species": ["In", "In", "Sn", "P"],
  "frac_coords": [[0.099, 0.099, 0.099], [0.901, 0.901, 0.901], [0.500, 0.500, 0.500], [0.000, 0.000, 0.000]]
}


Record 5
{
  "formula": "MgRu2Se",
  "functional": "PBE",
  "state": "optimized geometry",
  "total_magnetization_mub_per_fu": 0.296,
  "dos_ef_per_ev_cell": 4.97,
  "e_tot_ry_per_atom": -0.4198,
  "e_above_lowest_polymorph_ev_per_atom": 0.1605,
  "space_group": "R-3m, No. 166",
  "vol_a3_per_cell": 63.7,
  "cell": [[1.505, 0.869, 8.123], [-1.505, 0.869, 8.123], [0.000, -1.738, 8.123]],
  "species": ["Mg", "Ru", "Ru", "Se"],
  "frac_coords": [[0.000, 0.000, 0.000], [0.242, 0.242, 0.242], [0.758, 0.758, 0.758], [0.500, 0.500, 0.500]]
}


Record 6
{
  "formula": "RbCd2Ru",
  "functional": "PBE",
  "state": "optimized geometry",
  "total_magnetization_mub_per_fu": 0.368,
  "dos_ef_per_ev_cell": 4.79,
  "e_form_ev_per_fu": 3.3,
  "e_tot_ry_per_atom": -0.1609,
  "e_above_lowest_polymorph_ev_per_atom": 0.1492,
  "space_group": "Fm-3m, No. 225",
  "vol_a3_per_cell": 97.4,
  "cell": [[0.000, 3.652, 3.652], [3.652, 0.000, 3.652], [3.652, 3.652, 0.000]],
  "species": ["Rb", "Cd", "Cd", "Ru"],
  "frac_coords": [[0.000, 0.000, 0.000], [0.250, 0.250, 0.250], [0.750, 0.750, 0.750], [0.500, 0.500, 0.500]]
}


Record 7
{
  "formula": "Ba4SrCr",
  "functional": "PBE",
  "state": "optimized geometry",
  "total_magnetization_mub_per_fu": 3.337,
  "dos_ef_per_ev_cell": 10.65,
  "e_form_ev_per_fu": 3.8,
  "e_tot_ry_per_atom": -0.1858,
  "space_group": "F-43m, No. 216",
  "vol_a3_per_cell": 330.4,
  "cell": [[0.000, 5.487, 5.487], [5.487, 0.000, 5.487], [5.487, 5.487, 0.000]],
  "species": ["Ba", "Ba", "Ba", "Ba", "Sr", "Cr"],
  "frac_coords": [[0.124, 0.124, 0.124], [0.124, 0.124, 0.627], [0.124, 0.627, 0.124], [0.627, 0.124, 0.124], [0.500, 0.500, 0.500], [0.750, 0.750, 0.750]]
}


Record 8
{
  "formula": "RbCaTe2",
  "functional": "PBE",
  "state": "optimized geometry",
  "total_magnetization_mub_per_fu": 0.000,
  "dos_ef_per_ev_cell": 4.56,
  "e_tot_ry_per_atom": -0.2473,
  "space_group": "R3m, No. 160",
  "vol_a3_per_cell": 160.2,
  "cell": [[2.321, 1.340, 8.582], [-2.321, 1.340, 8.582], [0.000, -2.680, 8.582]],
  "species": ["Rb", "Ca", "Te", "Te"],
  "frac_coords": [[0.000, 0.000, 0.000], [0.169, 0.169, 0.169], [0.569, 0.569, 0.569], [0.768, 0.768, 0.768]]
}


Record 9
{
  "formula": "Tb9AlIn2",
  "functional": "PBE",
  "state": "optimized geometry",
  "total_magnetization_mub_per_fu": 0.030,
  "dos_ef_per_ev_cell": 19.42,
  "e_form_ev_per_fu": -2.9,
  "e_tot_ry_per_atom": -0.3294,
  "space_group": "P4/mmm, No. 123",
  "vol_a3_per_cell": 339.2,
  "cell": [[4.836, 0.000, 0.000], [0.000, 4.836, 0.000], [0.000, 0.000, 14.501]],
  "species": ["Tb", "Tb", "Tb", "Tb", "Tb", "Tb", "Tb", "Tb", "Tb", "Al", "In", "In"],
  "frac_coords": [[0.000, 0.000, 0.000], [0.000, 0.000, 0.331], [0.000, 0.000, 0.669], [0.000, 0.500, 0.161], [0.000, 0.500, 0.500], [0.000, 0.500, 0.839], [0.500, 0.000, 0.161], [0.500, 0.000, 0.500], [0.500, 0.000, 0.839], [0.500, 0.500, 0.000], [0.500, 0.500, 0.332], [0.500, 0.500, 0.668]]
}


Record 10
{
  "formula": "Tb2HoBr",
  "functional": "PBE",
  "state": "optimized geometry",
  "total_magnetization_mub_per_fu": 0.001,
  "dos_ef_per_ev_cell": 4.30,
  "e_tot_ry_per_atom": -0.3234,
  "space_group": "R-3m, No. 166",
  "vol_a3_per_cell": 117.8,
  "cell": [[1.821, 1.051, 10.256], [-1.821, 1.051, 10.256], [0.000, -2.102, 10.256]],
  "species": ["Tb", "Tb", "Ho", "Br"],
  "frac_coords": [[0.243, 0.243, 0.243], [0.757, 0.757, 0.757], [0.000, 0.000, 0.000], [0.500, 0.500, 0.500]]
}


Record 11
{
  "formula": "Cs3RbAu",
  "functional": "PBE",
  "state": "optimized geometry",
  "total_magnetization_mub_per_fu": 0.000,
  "dos_ef_per_ev_cell": 8.54,
  "e_form_ev_per_fu": -0.2,
  "e_tot_ry_per_atom": -0.1026,
  "e_above_lowest_polymorph_ev_per_atom": 0.1125,
  "space_group": "I-4m2, No. 119",
  "vol_a3_per_cell": 822.5,
  "cell": [[-4.095, 4.095, 12.264], [4.095, -4.095, 12.264], [4.095, 4.095, -12.264]],
  "species": ["Cs", "Cs", "Cs", "Cs", "Cs", "Cs", "Rb", "Rb", "Au", "Au"],
  "frac_coords": [[0.205, 0.205, 0.000], [0.371, 0.622, 0.750], [0.378, 0.128, 0.750], [0.378, 0.629, 0.250], [0.795, 0.795, 0.000], [0.872, 0.622, 0.250], [0.547, 0.047, 0.500], [0.953, 0.453, 0.500], [0.250, 0.750, 0.500], [0.500, 0.500, 0.000]]
}


Record 12
{
  "formula": "BaMgSi2",
  "functional": "PBE",
  "state": "optimized geometry",
  "total_magnetization_mub_per_fu": 0.000,
  "dos_ef_per_ev_cell": 0.94,
  "e_tot_ry_per_atom": -0.2728,
  "space_group": "Cm, No. 8",
  "vol_a3_per_cell": 109.6,
  "cell": [[4.446, -1.944, 0.000], [4.446, 1.944, 0.000], [-3.634, 0.000, 6.340]],
  "species": ["Ba", "Mg", "Si", "Si"],
  "frac_coords": [[0.000, 0.000, 0.000], [0.827, 0.827, 0.453], [0.166, 0.166, 0.608], [0.509, 0.509, 0.370]]
}